(1)
Compound: Ca2GaBi3
Source: the Alexandria database
Functional: PBE
Structure: optimized geometry

Values from the calculation:
- M_tot: 0.0 μB per cell
- Crystal system: orthorhombic
- Energy of formation from the pure elements: -330 meV per atom
- Space-group type: Immm (71)
- Density: 6.82 g cm⁻³
- E_tot: -20.65 eV/cell

```
data_Ca2GaBi3
_chemical_formula_sum 'Ca2 Ga1 Bi3'
_cell_length_a 8.790
_cell_length_b 8.790
_cell_length_c 8.790
_cell_angle_alpha 155.87
_cell_angle_beta 136.91
_cell_angle_gamma 49.99
_symmetry_space_group_name_H-M 'P 1'
_symmetry_Int_Tables_number 1
_symmetry_space_group_name_Hall 'P 1'
loop_
_atom_site_label
_atom_site_fract_x
_atom_site_fract_y
_atom_site_fract_z
_atom_site_occupancy
Ca1 0.173 0.173 0.000 1
Ca2 0.827 0.827 0.000 1
Ga1 0.500 0.500 0.000 1
Bi1 0.000 0.500 0.500 1
Bi2 0.349 0.849 0.500 1
Bi3 0.651 0.151 0.500 1
```

---

(2)
Compound: HgOsPbS2
Source: the Alexandria database
Functional: PBE
Structure: optimized geometry

Values from the calculation:
- M_tot: 4.6 μB per cell
- Crystal system: tetragonal
- Space-group type: P4/mmm (123)
- Formation energy without anion corrections: 8.54 eV per formula unit
- Density: 7.11 g cm⁻³
- E_tot: -14.96 eV/cell

```
data_HgOsPbS2
_chemical_formula_sum 'Hg1 Os1 Pb1 S2'
_cell_length_a 5.182
_cell_length_b 5.182
_cell_length_c 5.763
_cell_angle_alpha 90.00
_cell_angle_beta 90.00
_cell_angle_gamma 90.00
_symmetry_space_group_name_H-M 'P 1'
_symmetry_Int_Tables_number 1
_symmetry_space_group_name_Hall 'P 1'
loop_
_atom_site_label
_atom_site_fract_x
_atom_site_fract_y
_atom_site_fract_z
_atom_site_occupancy
Hg1 0.000 0.000 0.000 1
Os1 0.500 0.500 0.000 1
Pb1 0.000 0.000 0.500 1
S1 0.000 0.500 0.500 1
S2 0.500 0.000 0.500 1
```

---

(3)
Compound: CsSr2Ir
Source: the Alexandria database
Functional: PBE
Structure: optimized geometry

Values from the calculation:
- M_tot: 0.0 μB per cell
- Energy above the most stable polymorph in this dataset: 207.8 meV/atom
- Crystal system: tetragonal
- Energy of formation from the pure elements: 289 meV per atom
- Space-group type: I-42d (122)
- Density: 3.27 g cm⁻³
- E_tot: -23.84 eV/cell

```
data_CsSr2Ir
_chemical_formula_sum 'Cs2 Sr4 Ir2'
_cell_length_a 8.941
_cell_length_b 8.941
_cell_length_c 8.941
_cell_angle_alpha 119.66
_cell_angle_beta 119.66
_cell_angle_gamma 90.59
_symmetry_space_group_name_H-M 'P 1'
_symmetry_Int_Tables_number 1
_symmetry_space_group_name_Hall 'P 1'
loop_
_atom_site_label
_atom_site_fract_x
_atom_site_fract_y
_atom_site_fract_z
_atom_site_occupancy
Cs1 0.000 0.000 0.000 1
Cs2 0.750 0.250 0.500 1
Sr1 0.370 0.625 0.245 1
Sr2 0.375 0.620 0.745 1
Sr3 0.380 0.125 0.755 1
Sr4 0.875 0.630 0.255 1
Ir1 0.250 0.750 0.500 1
Ir2 0.500 0.500 0.000 1
```

---

(4)
Compound: Te2Pd8Pb
Source: the Alexandria database
Functional: PBE
Structure: optimized geometry

Values from the calculation:
- M_tot: 0.0 μB per cell
- Energy above the most stable polymorph in this dataset: 0.0 meV/atom
- Crystal system: monoclinic
- Space-group type: C2/m (12)
- Formation energy without anion corrections: -3.08 eV per formula unit
- Density: 11.15 g cm⁻³
- E_tot: -54.61 eV/cell

```
data_Te2Pd8Pb
_chemical_formula_sum 'Te2 Pd8 Pb1'
_cell_length_a 7.937
_cell_length_b 7.937
_cell_length_c 6.468
_cell_angle_alpha 108.10
_cell_angle_beta 108.10
_cell_angle_gamma 30.48
_symmetry_space_group_name_H-M 'P 1'
_symmetry_Int_Tables_number 1
_symmetry_space_group_name_Hall 'P 1'
loop_
_atom_site_label
_atom_site_fract_x
_atom_site_fract_y
_atom_site_fract_z
_atom_site_occupancy
Te1 0.197 0.197 0.158 1
Te2 0.803 0.803 0.842 1
Pd1 0.038 0.038 0.236 1
Pd2 0.144 0.144 0.703 1
Pd3 0.319 0.319 0.572 1
Pd4 0.412 0.412 0.043 1
Pd5 0.588 0.588 0.957 1
Pd6 0.681 0.681 0.428 1
Pd7 0.856 0.856 0.297 1
Pd8 0.962 0.962 0.764 1
Pb1 0.500 0.500 0.500 1
```